Record 1
Ac5HIrRh2: optimized geometry, PBE.

Output
Its space group is Cmc2_1. The calculation puts the total energy at -5.794 eV per atom.

Geometry as POSCAR:
```
Ac5HIrRh2
1.0
-2.1432 3.0266 -2.1272
-6.8423 -5.8072 2.9275
-1.1520 6.8706 10.9364
Ac Ir H Rh
10 2 2 4
Direct
0.9686 0.9371 0.5025 Ac
0.3120 0.6240 0.3655 Ac
0.4976 0.9953 0.7597 Ac
0.6988 0.3975 0.1827 Ac
0.6485 0.2970 0.5209 Ac
0.5024 0.0047 0.2597 Ac
0.3012 0.6025 0.6827 Ac
0.0314 0.0629 0.0025 Ac
0.6880 0.3760 0.8655 Ac
0.3515 0.7030 0.0209 Ac
0.8091 0.6182 0.5248 Ir
0.1909 0.3818 0.0248 Ir
0.4414 0.8828 0.4232 H
0.5586 0.1172 0.9232 H
0.8825 0.7651 0.2007 Rh
0.8899 0.7797 0.8437 Rh
0.1175 0.2349 0.7007 Rh
0.1101 0.2203 0.3437 Rh
```



Record 2
CoSb2W: optimized geometry, PBE.

Output
Its space group is Pmm2. The energy above the most stable polymorph in this dataset comes out at 0.000 eV/atom. Its uncorrected formation energy is 0.24 eV per atom.

Geometry as POSCAR:
```
CoSb2W
1.0
-0.5476 -1.1691 2.6544
3.0686 -0.9586 0.2109
2.1025 7.5585 3.7628
Sb W Co
2 1 1
Direct
0.0000 0.0000 0.9051 Sb
0.5000 0.5000 0.3243 Sb
0.0000 0.0000 0.5560 W
0.5000 0.5000 0.7147 Co
```



Record 3
Li7Ag4Bi: optimized geometry, PBE.

Output
Its space group is C2/m. The formation energy is -130 meV per atom.

Geometry as POSCAR:
```
Li7Ag4Bi
1.0
5.0351 0.0000 0.0000
2.5175 7.2771 1.0886
2.5175 1.1410 6.3455
Ag Li Bi
4 7 1
Direct
0.6887 0.6447 0.9779 Ag
0.4486 0.7050 0.3978 Ag
0.3113 0.3553 0.0221 Ag
0.5514 0.2950 0.6022 Ag
0.9252 0.4172 0.7325 Li
0.5000 0.0000 0.0000 Li
0.2464 0.7136 0.7937 Li
0.7536 0.2864 0.2063 Li
0.1981 0.1203 0.4835 Li
0.0748 0.5828 0.2675 Li
0.8019 0.8797 0.5165 Li
0.0000 0.0000 0.0000 Bi
```



Magnetization list, top to bottom, in Bohr magnetons per cell: 0.0, 0.0, 0.0